(1)
PBE-GGA TcBTe, optimized geometry; space-group type = F-43m; spin magnetization = 0.00 μB/atom; energy above the most stable polymorph in this dataset = 0.0000 eV per atom
1.0
0.000 2.967 2.967
2.967 0.000 2.967
2.967 2.967 0.000
Tc B Te
1 1 1
direct
0.000 0.000 0.000
0.750 0.750 0.750
0.250 0.250 0.250


(2)
PBE-GGA Ta5SiGe3, optimized geometry; total energy = -162.60 eV/cell; space-group type = P6_3/mcm; spin magnetization = 0.00 μB/atom
1.0
7.942 0.000 0.000
-3.971 6.878 0.000
0.000 0.000 5.385
Ta Si Ge
10 2 6
direct
0.000 0.272 0.250
0.000 0.728 0.750
0.272 0.000 0.250
0.272 0.272 0.750
0.333 0.667 0.000
0.333 0.667 0.500
0.667 0.333 0.000
0.667 0.333 0.500
0.728 0.000 0.750
0.728 0.728 0.250
0.000 0.000 0.000
0.000 0.000 0.500
0.000 0.393 0.750
0.000 0.607 0.250
0.393 0.000 0.750
0.393 0.393 0.250
0.607 0.000 0.250
0.607 0.607 0.750